! CeTm2In, relaxed, DFT PBE; values from VASP
! Energy = -4.611 eV per atom
! Energy above the most stable polymorph in this dataset = 0 kJ/mol of formula units
! ΔE_f = -0.207 eV/atom
! Crystal system = tetragonal
! N(E_F) = 7.7 states/eV/cell
! Space group = P4/mmm
! Calculated volume = 27.65 A^3/atom
&SYSTEM
  ibrav = 0, nat = 4, ntyp = 3
/
ATOMIC_SPECIES
Ce 140.12 Ce.upf
Tm 168.93 Tm.upf
In 114.82 In.upf
ATOMIC_POSITIONS crystal
Ce 0.0000 0.0000 0.0000
Tm 0.0000 0.5000 0.5000
Tm 0.5000 0.0000 0.5000
In 0.5000 0.5000 0.0000
CELL_PARAMETERS angstrom
4.8638 0.0000 0.0000
0.0000 4.8638 0.0000
0.0000 0.0000 4.6750

! CeTmIn2, relaxed, DFT PBE; values from VASP
! Energy = -4.358 eV per atom
! ΔE_f = -0.388 eV/atom
! Crystal system = cubic
! N(E_F) = 7.0 states/eV/cell
! Space group = Fm-3m
! Calculated volume = 27.25 A^3/atom
&SYSTEM
  ibrav = 0, nat = 4, ntyp = 3
/
ATOMIC_SPECIES
Ce 140.12 Ce.upf
Tm 168.93 Tm.upf
In 114.82 In.upf
ATOMIC_POSITIONS crystal
Ce 0.0000 0.0000 0.0000
Tm 0.5000 0.5000 0.5000
In 0.2500 0.2500 0.2500
In 0.7500 0.7500 0.7500
CELL_PARAMETERS angstrom
0.0000 3.7914 3.7914
3.7914 0.0000 3.7914
3.7914 3.7914 0.0000

! Ce4TmIn, relaxed, DFT PBE; values from VASP
! Energy = -5.254 eV per atom
! ΔE_f = -0.096 eV/atom
! Crystal system = orthorhombic
! N(E_F) = 32.2 states/eV/cell
! Space group = Cmcm
! Calculated volume = 26.99 A^3/atom
&SYSTEM
  ibrav = 0, nat = 12, ntyp = 3
/
ATOMIC_SPECIES
Ce 140.12 Ce.upf
Tm 168.93 Tm.upf
In 114.82 In.upf
ATOMIC_POSITIONS crystal
Ce 0.0681 0.4740 0.2500
Ce 0.1727 0.2754 0.2500
Ce 0.2754 0.1727 0.7500
Ce 0.4740 0.0681 0.7500
Ce 0.5260 0.9319 0.2500
Ce 0.7246 0.8273 0.2500
Ce 0.8273 0.7246 0.7500
Ce 0.9319 0.5260 0.7500
Tm 0.3790 0.6210 0.7500
Tm 0.6210 0.3790 0.2500
In 0.1259 0.8741 0.2500
In 0.8741 0.1259 0.7500
CELL_PARAMETERS angstrom
3.2198 -9.0609 0.0000
3.2198 9.0609 0.0000
0.0000 0.0000 5.5508

! CeTm3In4, relaxed, DFT PBE; values from VASP
! Energy = -4.188 eV per atom
! ΔE_f = -0.400 eV/atom
! Crystal system = orthorhombic
! N(E_F) = 19.8 states/eV/cell
! Space group = Pmma
! Calculated volume = 26.50 A^3/atom
&SYSTEM
  ibrav = 0, nat = 16, ntyp = 3
/
ATOMIC_SPECIES
Ce 140.12 Ce.upf
Tm 168.93 Tm.upf
In 114.82 In.upf
ATOMIC_POSITIONS crystal
Ce 0.0000 0.0000 0.0000
Ce 0.5000 0.0000 0.0000
Tm 0.0000 0.5000 0.0000
Tm 0.2500 0.0000 0.4341
Tm 0.2500 0.5000 0.4240
Tm 0.5000 0.5000 0.0000
Tm 0.7500 0.0000 0.5659
Tm 0.7500 0.5000 0.5760
In 0.0000 0.2609 0.5000
In 0.0000 0.7391 0.5000
In 0.2500 0.2603 0.9216
In 0.2500 0.7397 0.9216
In 0.5000 0.2609 0.5000
In 0.5000 0.7391 0.5000
In 0.7500 0.2603 0.0784
In 0.7500 0.7397 0.0784
CELL_PARAMETERS angstrom
10.7161 0.0000 0.0000
0.0000 7.2419 0.0000
0.0000 0.0000 5.4645

! CeTmIn4, relaxed, DFT PBE; values from VASP
! Energy = -3.552 eV per atom
! Energy above the most stable polymorph in this dataset = 164 kJ/mol of formula units
! ΔE_f = 0.008 eV/atom
! Crystal system = monoclinic
! N(E_F) = 8.7 states/eV/cell
! Space group = Pm
! Calculated volume = 31.67 A^3/atom
&SYSTEM
  ibrav = 0, nat = 6, ntyp = 3
/
ATOMIC_SPECIES
Ce 140.12 Ce.upf
Tm 168.93 Tm.upf
In 114.82 In.upf
ATOMIC_POSITIONS crystal
Ce 0.0000 0.0000 0.0000
Tm 0.4982 0.5000 0.5000
In 0.4994 0.0000 0.7318
In 0.5004 0.0000 0.2682
In 0.9977 0.5000 0.2685
In 0.9986 0.5000 0.7316
CELL_PARAMETERS angstrom
4.9268 0.0000 0.0000
0.0000 4.9241 0.0000
-0.0093 0.0000 7.8327

! CeTm3In, relaxed, DFT PBE; values from VASP
! Energy = -4.527 eV per atom
! Energy above the most stable polymorph in this dataset = 17 kJ/mol of formula units
! ΔE_f = -0.109 eV/atom
! Crystal system = orthorhombic
! N(E_F) = 19.0 states/eV/cell
! Space group = Cmcm
! Calculated volume = 28.49 A^3/atom
&SYSTEM
  ibrav = 0, nat = 10, ntyp = 3
/
ATOMIC_SPECIES
Ce 140.12 Ce.upf
Tm 168.93 Tm.upf
In 114.82 In.upf
ATOMIC_POSITIONS crystal
Ce 0.1480 0.8520 0.7500
Ce 0.8520 0.1480 0.2500
Tm 0.0480 0.9520 0.2500
Tm 0.2499 0.7501 0.2500
Tm 0.4470 0.5530 0.2500
Tm 0.5530 0.4470 0.7500
Tm 0.7501 0.2499 0.7500
Tm 0.9520 0.0480 0.7500
In 0.3472 0.6528 0.7500
In 0.6528 0.3472 0.2500
CELL_PARAMETERS angstrom
2.4198 -12.1792 0.0000
2.4198 12.1792 0.0000
0.0000 0.0000 4.8335

! CeTm2In, relaxed, DFT PBE; values from VASP
! Energy = -4.532 eV per atom
! Energy above the most stable polymorph in this dataset = 30 kJ/mol of formula units
! ΔE_f = -0.128 eV/atom
! Crystal system = monoclinic
! N(E_F) = 14.2 states/eV/cell
! Space group = P2_1/m
! Calculated volume = 28.25 A^3/atom
&SYSTEM
  ibrav = 0, nat = 8, ntyp = 3
/
ATOMIC_SPECIES
Ce 140.12 Ce.upf
Tm 168.93 Tm.upf
In 114.82 In.upf
ATOMIC_POSITIONS crystal
Ce 0.1348 0.2500 0.0818
Ce 0.8652 0.7500 0.9182
Tm 0.3262 0.7500 0.4192
Tm 0.4154 0.7500 0.8316
Tm 0.5846 0.2500 0.1684
Tm 0.6738 0.2500 0.5808
In 0.0925 0.2500 0.6638
In 0.9075 0.7500 0.3362
CELL_PARAMETERS angstrom
7.8302 0.0000 0.0000
0.0000 3.4858 0.0000
-0.7564 0.0000 8.2787

! CeTm3In, relaxed, DFT PBE; values from VASP
! Energy = -4.562 eV per atom
! Energy above the most stable polymorph in this dataset = 0 kJ/mol of formula units
! ΔE_f = -0.145 eV/atom
! Crystal system = monoclinic
! N(E_F) = 16.5 states/eV/cell
! Space group = C2/m
! Calculated volume = 28.44 A^3/atom
&SYSTEM
  ibrav = 0, nat = 10, ntyp = 3
/
ATOMIC_SPECIES
Ce 140.12 Ce.upf
Tm 168.93 Tm.upf
In 114.82 In.upf
ATOMIC_POSITIONS crystal
Ce 0.0839 0.0839 0.4802
Ce 0.9161 0.9161 0.5198
Tm 0.1104 0.1104 0.9943
Tm 0.2962 0.2962 0.7343
Tm 0.4938 0.4938 0.2444
Tm 0.5062 0.5062 0.7556
Tm 0.7038 0.7038 0.2657
Tm 0.8896 0.8896 0.0057
In 0.2995 0.2995 0.2432
In 0.7005 0.7005 0.7568
CELL_PARAMETERS angstrom
8.0158 -2.6592 0.0000
8.0158 2.6592 0.0000
-0.3568 0.0000 6.6700